(1)
{
  "formula": "CeNd2Si3Pt4",
  "functional": "PBE-GGA",
  "state": "optimized geometry",
  "cell": [[-0.316, -1.802, -3.895], [1.169, -3.794, 1.661], [-10.433, -2.365, 1.940]],
  "species": ["Pt", "Pt", "Pt", "Pt", "Si", "Si", "Si", "Nd", "Nd", "Ce"],
  "fractional_positions": [[0.500, 0.500, 0.000], [0.000, 0.000, 0.000], [0.500, 0.000, 0.664], [0.000, 0.500, 0.336], [0.000, 0.000, 0.500], [0.500, 0.000, 0.884], [0.000, 0.500, 0.116], [0.000, 0.500, 0.774], [0.500, 0.000, 0.226], [0.500, 0.500, 0.500]],
  "space_group": "P-4m2, No. 115"
}

---

(2)
{
  "formula": "CeNdSi2Pt5",
  "functional": "PBE-GGA",
  "state": "optimized geometry",
  "cell": [[4.303, 0.000, 0.000], [0.000, 4.303, 0.000], [0.000, 0.000, 8.926]],
  "species": ["Pt", "Pt", "Pt", "Pt", "Pt", "Nd", "Ce", "Si", "Si"],
  "fractional_positions": [[0.500, 0.000, 0.262], [0.000, 0.500, 0.262], [0.500, 0.000, 0.738], [0.500, 0.500, 0.500], [0.000, 0.500, 0.738], [0.000, 0.000, 0.500], [0.000, 0.000, 0.000], [0.500, 0.500, 0.865], [0.500, 0.500, 0.135]],
  "space_group": "P4/mmm, No. 123"
}

---

(3)
{
  "formula": "Ce2NdSi2Pt7",
  "functional": "PBE-GGA",
  "state": "optimized geometry",
  "cell": [[4.121, 0.036, -0.096], [0.041, 4.121, -0.096], [1.709, 1.707, 13.708]],
  "species": ["Si", "Si", "Pt", "Pt", "Pt", "Pt", "Pt", "Pt", "Pt", "Ce", "Ce", "Nd"],
  "fractional_positions": [[0.589, 0.589, 0.746], [0.411, 0.411, 0.254], [0.557, 0.059, 0.836], [0.059, 0.557, 0.836], [0.620, 0.620, 0.575], [0.380, 0.380, 0.425], [0.500, 0.500, 0.000], [0.941, 0.443, 0.164], [0.443, 0.941, 0.164], [0.110, 0.110, 0.642], [0.890, 0.890, 0.358], [0.000, 0.000, 0.000]],
  "space_group": "C2/m, No. 12"
}

---

no.,formation energy from raw total energies (kcal/mol of atoms),Fermi-level density of states (states/eV/cell)
1,-23.179,9.62
2,-23.288,8.26
3,-23.746,15.81